1.
A plane-wave DFT calculation with PBE was carried out for a relaxed structure of Ba6HgPdAu2.

Results
**Electronic total energy**: -28.6 eV per formula unit
**V**: 45.61 Å³ per atom
**Energy relative to the elements**: -501 meV per atom
**Total magnetic moment**: 0.00 μB per cell

Cell: 8.2912 8.2919 9.0343 Å, 62.69 62.68 59.98°
Last column: nearest neighbours and their distance in Å.
Positions (direct):
Ba  0.5789  0.2531  0.2410  1 Pd 3.22, 2 Au 3.34, 1 Hg 3.52
Ba  0.2529  0.9269  0.2412  1 Pd 3.22, 2 Au 3.34, 1 Hg 3.52
Ba  0.9266  0.5793  0.2411  1 Pd 3.22, 2 Au 3.34, 1 Hg 3.52
Ba  0.3968  0.7323  0.7590  1 Pd 3.23, 2 Au 3.33-3.35, 1 Hg 3.49
Ba  0.7327  0.1117  0.7590  1 Pd 3.23, 2 Au 3.33-3.35, 1 Hg 3.49
Ba  0.1119  0.3967  0.7589  1 Pd 3.23, 2 Au 3.33-3.35, 1 Hg 3.49
Hg  0.8266  0.8267  0.5200  6 Ba 3.49-3.52
Pd  0.3290  0.3291  0.0127  6 Ba 3.22-3.23
Au  0.5069  0.5066  0.4797  6 Ba 3.34-3.35
Au  0.9993  0.9992  0.0025  6 Ba 3.33-3.34

=====

2.
A plane-wave DFT calculation with PBE was carried out for a relaxed structure of CoPHBr.

Results
**Electronic total energy**: -17.6 eV per formula unit
**V**: 16.02 Å³ per atom
**Total magnetic moment**: 0.00 μB per cell

Cell: 3.3557 3.8016 5.6269 Å, 84.77 89.80 63.81°
Last column: nearest neighbours and their distance in Å.
Positions (direct):
Co  0.6766  0.9828  0.9740  1 H 1.67
P  0.0823  0.1689  0.1796  1 H 1.54
H  0.8583  0.6174  0.1953  1 P 1.54, 1 Co 1.67
Br  0.3674  0.6047  0.7305  3 Co 2.41-2.59

=====

3.
A plane-wave DFT calculation with PBE was carried out for a relaxed structure of KY2TeW.

Results
**Electronic total energy**: -24.6 eV per formula unit
**V**: 38.86 Å³ per atom
**Formation energy (no corrections)**: 5.51 eV/f.u.
**Total magnetic moment**: 3.15 μB per cell

Cell: 5.7144 5.9507 5.7144 Å, 90.00 90.00 90.00°
Last column: nearest neighbours and their distance in Å.
Positions (direct):
Y  0.0000  0.0000  0.5000  2 Te 2.86
Y  0.5000  0.0000  0.0000  2 Te 2.86
K  0.0000  0.5000  0.0000  2 Te 2.98
Te  0.0000  0.0000  0.0000  4 Y 2.86, 2 K 2.98
W  0.5000  0.5000  0.5000  4 K 4.04, 8 Y 4.13